<1>
The following is a PBE calculation of a relaxed La4Nd4Ho3 crystal, from Alexandria.

Results
As for the total moment: 0.00 μB per cell.

Unit cell a=12.217 b=12.217 c=12.217 alpha=162.66 beta=133.53 gamma=49.96
Sites, in units of the cell vectors:
La 0.024 0.856 0.168
La 0.312 0.144 0.168
La 0.688 0.856 0.832
La 0.976 0.144 0.832
Nd 0.266 0.766 0.500
Nd 0.312 0.000 0.312
Nd 0.688 0.000 0.688
Nd 0.734 0.234 0.500
Ho 0.000 0.500 0.500
Ho 0.397 0.397 0.000
Ho 0.603 0.603 0.000

<2>
The following is a PBE calculation of a relaxed La4Nd4Ho3 crystal, from Alexandria.

Results
As for the total moment: 0.00 μB per cell.

Unit cell a=3.584 b=5.813 c=18.531 alpha=80.98 beta=84.46 gamma=90.00
Sites, in units of the cell vectors:
La 0.093 0.092 0.315
La 0.229 0.729 0.042
La 0.771 0.271 0.958
La 0.907 0.908 0.685
Nd 0.045 0.543 0.411
Nd 0.183 0.182 0.135
Nd 0.817 0.818 0.865
Nd 0.955 0.457 0.589
Ho 0.364 0.365 0.772
Ho 0.500 0.000 0.500
Ho 0.636 0.635 0.228

Q: Which of them is the least stable? A: <1>.

<1>
The following is a PBE calculation of a relaxed La2Nd3Ho8 crystal, from Alexandria.

Results
As for the total moment: 0.00 μB per cell.

Unit cell a=6.837 b=8.704 c=8.818 alpha=115.44 beta=101.84 gamma=103.23
Sites, in units of the cell vectors:
La 0.185 0.344 0.203
La 0.815 0.656 0.797
Nd 0.281 0.626 0.650
Nd 0.500 0.500 0.000
Nd 0.719 0.374 0.350
Ho 0.052 0.715 0.304
Ho 0.128 0.004 0.772
Ho 0.338 0.911 0.107
Ho 0.386 0.184 0.547
Ho 0.614 0.816 0.453
Ho 0.662 0.089 0.893
Ho 0.872 0.996 0.228
Ho 0.948 0.285 0.696

<2>
The following is a PBE calculation of a relaxed La2Nd3Ho8 crystal, from Alexandria.

Results
As for the total moment: 0.00 μB per cell.

Unit cell a=11.192 b=11.192 c=5.575 alpha=90.01 beta=90.01 gamma=40.29
Sites, in units of the cell vectors:
La 0.241 0.241 0.499
La 0.759 0.759 0.501
Nd 0.000 0.000 0.500
Nd 0.295 0.705 0.000
Nd 0.705 0.295 0.000
Ho 0.127 0.127 0.000
Ho 0.182 0.605 0.500
Ho 0.340 0.340 0.000
Ho 0.395 0.818 0.500
Ho 0.605 0.182 0.500
Ho 0.660 0.660 0.000
Ho 0.818 0.395 0.500
Ho 0.873 0.873 0.000

Q: Which of them is the least stable? A: <2>.

<1>
The following is a PBE calculation of a relaxed La2Nd5Ho3 crystal, from Alexandria.

Results
As for the total moment: 0.00 μB per cell.

Unit cell a=9.601 b=9.601 c=9.753 alpha=109.00 beta=109.00 gamma=109.53
Sites, in units of the cell vectors:
La 0.023 0.270 0.054
La 0.270 0.023 0.554
La 0.730 0.977 0.446
La 0.977 0.730 0.946
Nd 0.150 0.384 0.775
Nd 0.229 0.771 0.750
Nd 0.268 0.732 0.250
Nd 0.384 0.150 0.275
Nd 0.468 0.532 0.250
Nd 0.532 0.468 0.750
Nd 0.616 0.850 0.725
Nd 0.732 0.268 0.750
Nd 0.771 0.229 0.250
Nd 0.850 0.616 0.225
Ho 0.023 0.977 0.750
Ho 0.222 0.464 0.454
Ho 0.464 0.222 0.954
Ho 0.536 0.778 0.046
Ho 0.778 0.536 0.546
Ho 0.977 0.023 0.250

<2>
The following is a PBE calculation of a relaxed La2Nd5Ho3 crystal, from Alexandria.

Results
As for the total moment: 0.00 μB per cell.

Unit cell a=11.160 b=11.160 c=11.160 alpha=113.15 beta=77.26 gamma=145.82
Sites, in units of the cell vectors:
La 0.169 0.083 0.253
La 0.331 0.583 0.914
La 0.669 0.417 0.086
La 0.831 0.917 0.747
Nd 0.168 0.734 0.901
Nd 0.250 0.003 0.753
Nd 0.250 0.497 0.247
Nd 0.250 0.750 0.500
Nd 0.332 0.234 0.566
Nd 0.668 0.766 0.434
Nd 0.750 0.250 0.500
Nd 0.750 0.503 0.753
Nd 0.750 0.997 0.247
Nd 0.832 0.266 0.099
Ho 0.167 0.405 0.572
Ho 0.250 0.250 0.000
Ho 0.333 0.905 0.238
Ho 0.667 0.095 0.762
Ho 0.750 0.750 0.000
Ho 0.833 0.595 0.428

Q: Which of them is the least stable? A: <2>.

<1>
The following is a PBE calculation of a relaxed La7NdHo3 crystal, from Alexandria.

Results
As for the total moment: 0.00 μB per cell.

Unit cell a=6.642 b=6.806 c=8.935 alpha=99.79 beta=98.91 gamma=95.52
Sites, in units of the cell vectors:
La 0.000 0.000 0.000
La 0.048 0.710 0.644
La 0.210 0.223 0.707
La 0.481 0.736 0.911
La 0.519 0.264 0.089
La 0.790 0.777 0.293
La 0.952 0.290 0.356
Nd 0.000 0.500 0.000
Ho 0.319 0.926 0.335
Ho 0.500 0.500 0.500
Ho 0.681 0.074 0.665

<2>
The following is a PBE calculation of a relaxed La7NdHo3 crystal, from Alexandria.

Results
As for the total moment: 0.00 μB per cell.

Unit cell a=7.315 b=7.315 c=8.649 alpha=90.00 beta=90.00 gamma=120.00
Sites, in units of the cell vectors:
La 0.000 0.000 0.000
La 0.005 0.502 0.033
La 0.169 0.338 0.666
La 0.169 0.831 0.666
La 0.498 0.502 0.033
La 0.498 0.995 0.033
La 0.662 0.831 0.666
Nd 0.667 0.333 0.695
Ho 0.334 0.167 0.349
Ho 0.833 0.167 0.349
Ho 0.833 0.666 0.349

Q: Which of them is the least stable? A: <2>.

<1>
The following is a PBE calculation of a relaxed LaNd3Ho3 crystal, from Alexandria.

Results
As for the total moment: 0.00 μB per cell.

Unit cell a=9.001 b=9.001 c=9.001 alpha=58.21 beta=58.21 gamma=58.21
Sites, in units of the cell vectors:
La 0.154 0.154 0.154
La 0.846 0.846 0.846
Nd 0.068 0.221 0.570
Nd 0.221 0.570 0.068
Nd 0.430 0.932 0.779
Nd 0.570 0.068 0.221
Nd 0.779 0.430 0.932
Nd 0.932 0.779 0.430
Ho 0.216 0.436 0.671
Ho 0.329 0.784 0.564
Ho 0.436 0.671 0.216
Ho 0.564 0.329 0.784
Ho 0.671 0.216 0.436
Ho 0.784 0.564 0.329

<2>
The following is a PBE calculation of a relaxed LaNd3Ho3 crystal, from Alexandria.

Results
As for the total moment: 0.00 μB per cell.

Unit cell a=9.718 b=9.718 c=5.826 alpha=90.00 beta=90.00 gamma=120.00
Sites, in units of the cell vectors:
La 0.333 0.667 0.250
La 0.667 0.333 0.750
Nd 0.095 0.474 0.750
Nd 0.379 0.905 0.750
Nd 0.474 0.379 0.250
Nd 0.526 0.621 0.750
Nd 0.621 0.095 0.250
Nd 0.905 0.526 0.250
Ho 0.045 0.231 0.250
Ho 0.186 0.955 0.250
Ho 0.231 0.186 0.750
Ho 0.769 0.814 0.250
Ho 0.814 0.045 0.750
Ho 0.955 0.769 0.750

Q: Which of them is the least stable? A: <1>.

<1>
The following is a PBE calculation of a relaxed LaNd2Ho9 crystal, from Alexandria.

Results
As for the total moment: 0.00 μB per cell.

Unit cell a=5.050 b=5.050 c=15.157 alpha=90.00 beta=90.00 gamma=90.00
Sites, in units of the cell vectors:
La 0.000 0.000 0.000
Nd 0.000 0.000 0.333
Nd 0.000 0.000 0.667
Ho 0.000 0.500 0.169
Ho 0.000 0.500 0.500
Ho 0.000 0.500 0.831
Ho 0.500 0.000 0.169
Ho 0.500 0.000 0.500
Ho 0.500 0.000 0.831
Ho 0.500 0.500 0.000
Ho 0.500 0.500 0.334
Ho 0.500 0.500 0.666

<2>
The following is a PBE calculation of a relaxed LaNd2Ho9 crystal, from Alexandria.

Results
As for the total moment: 0.00 μB per cell.

Unit cell a=11.311 b=11.311 c=3.529 alpha=90.00 beta=90.00 gamma=120.00
Sites, in units of the cell vectors:
La 0.000 0.000 0.000
Nd 0.333 0.667 0.000
Nd 0.667 0.333 0.000
Ho 0.000 0.500 0.000
Ho 0.177 0.354 0.500
Ho 0.177 0.823 0.500
Ho 0.354 0.177 0.500
Ho 0.500 0.000 0.000
Ho 0.500 0.500 0.000
Ho 0.646 0.823 0.500
Ho 0.823 0.177 0.500
Ho 0.823 0.646 0.500

Q: Which of them is the least stable? A: <2>.

<1>
The following is a PBE calculation of a relaxed LaNd4Ho crystal, from Alexandria.

Results
As for the total moment: 0.00 μB per cell.

Unit cell a=6.734 b=6.734 c=6.734 alpha=60.00 beta=60.00 gamma=60.00
Sites, in units of the cell vectors:
La 0.000 0.000 0.000
Nd 0.376 0.376 0.376
Nd 0.376 0.376 0.872
Nd 0.376 0.872 0.376
Nd 0.872 0.376 0.376
Ho 0.750 0.750 0.750

<2>
The following is a PBE calculation of a relaxed LaNd4Ho crystal, from Alexandria.

Results
As for the total moment: 0.00 μB per cell.

Unit cell a=8.245 b=8.245 c=5.160 alpha=90.00 beta=90.00 gamma=143.23
Sites, in units of the cell vectors:
La 0.000 0.000 0.000
Nd 0.166 0.834 0.500
Nd 0.334 0.666 0.000
Nd 0.666 0.334 0.000
Nd 0.834 0.166 0.500
Ho 0.500 0.500 0.500

Q: Which of them is the least stable? A: <1>.

<1>
The following is a PBE calculation of a relaxed La2Nd4Ho5 crystal, from Alexandria.

Results
As for the total moment: 0.00 μB per cell.

Unit cell a=11.095 b=11.095 c=11.095 alpha=161.62 beta=116.29 gamma=66.92
Sites, in units of the cell vectors:
La 0.201 0.201 0.000
La 0.799 0.799 0.000
Nd 0.263 0.000 0.263
Nd 0.409 0.409 0.000
Nd 0.591 0.591 0.000
Nd 0.737 0.000 0.737
Ho 0.000 0.500 0.500
Ho 0.110 0.821 0.289
Ho 0.469 0.179 0.289
Ho 0.531 0.821 0.711
Ho 0.890 0.179 0.711

<2>
The following is a PBE calculation of a relaxed La2Nd4Ho5 crystal, from Alexandria.

Results
As for the total moment: 0.00 μB per cell.

Unit cell a=10.316 b=10.316 c=6.496 alpha=93.12 beta=93.12 gamma=32.83
Sites, in units of the cell vectors:
La 0.098 0.098 0.044
La 0.902 0.902 0.956
Nd 0.196 0.196 0.576
Nd 0.470 0.470 0.236
Nd 0.530 0.530 0.764
Nd 0.804 0.804 0.424
Ho 0.000 0.000 0.500
Ho 0.288 0.288 0.104
Ho 0.367 0.367 0.625
Ho 0.633 0.633 0.375
Ho 0.712 0.712 0.896

Q: Which of them is the least stable? A: <1>.

<1>
The following is a PBE calculation of a relaxed La7NdHo4 crystal, from Alexandria.

Results
As for the total moment: 0.29 μB per cell.

Unit cell a=8.747 b=8.747 c=9.712 alpha=116.53 beta=116.53 gamma=40.81
Sites, in units of the cell vectors:
La 0.000 0.000 0.000
La 0.278 0.278 0.749
La 0.286 0.286 0.108
La 0.411 0.411 0.541
La 0.589 0.589 0.459
La 0.714 0.714 0.892
La 0.722 0.722 0.251
Nd 0.500 0.500 0.000
Ho 0.065 0.065 0.701
Ho 0.167 0.167 0.366
Ho 0.833 0.833 0.634
Ho 0.935 0.935 0.299

<2>
The following is a PBE calculation of a relaxed La7NdHo4 crystal, from Alexandria.

Results
As for the total moment: 0.00 μB per cell.

Unit cell a=6.427 b=7.382 c=9.084 alpha=90.00 beta=103.56 gamma=90.05
Sites, in units of the cell vectors:
La 0.000 0.000 0.000
La 0.222 0.499 0.666
La 0.281 0.751 0.336
La 0.499 0.755 0.996
La 0.501 0.245 0.004
La 0.719 0.249 0.664
La 0.778 0.501 0.334
Nd 0.000 0.500 0.000
Ho 0.218 0.999 0.663
Ho 0.277 0.244 0.333
Ho 0.723 0.756 0.667
Ho 0.782 0.001 0.337

Q: Which of them is the least stable? A: <1>.

<1>
The following is a PBE calculation of a relaxed La4Nd3Ho crystal, from Alexandria.

Results
As for the total moment: 0.00 μB per cell.

Unit cell a=13.007 b=13.007 c=6.308 alpha=93.68 beta=93.68 gamma=15.63
Sites, in units of the cell vectors:
La 0.105 0.105 0.231
La 0.280 0.280 0.756
La 0.720 0.720 0.244
La 0.895 0.895 0.769
Nd 0.000 0.000 0.500
Nd 0.144 0.144 0.741
Nd 0.856 0.856 0.259
Ho 0.500 0.500 0.000

<2>
The following is a PBE calculation of a relaxed La4Nd3Ho crystal, from Alexandria.

Results
As for the total moment: 0.00 μB per cell.

Unit cell a=7.660 b=7.660 c=6.009 alpha=90.00 beta=90.00 gamma=125.62
Sites, in units of the cell vectors:
La 0.222 0.222 0.500
La 0.247 0.753 0.000
La 0.753 0.247 0.000
La 0.778 0.778 0.500
Nd 0.000 0.500 0.500
Nd 0.500 0.000 0.500
Nd 0.500 0.500 0.000
Ho 0.000 0.000 0.000

Q: Which of them is the least stable? A: <2>.